Computed, not measured: a PBEsol-optimized structure of Ta2TcSe at the SCAN level of DFT.

abc: 3.2024 3.2024 6.4238
angles: 90.00 90.00 90.00
Element x y z (fractional)
Ta: 0.5000 0.5000 0.2733
Tc: 0.0000 0.0000 0.4803
Ta: 0.0000 0.0000 0.9787
Se: 0.5000 0.5000 0.7677

Properties
N(E_F) in states/eV/cell: 2.5
E_form (uncorrected) in eV per atom: -0.10
Magnetization in μB per formula unit: 0.000
VASP energy in eV/atom: -47.180